This record from Alexandria describes a relaxed structure of YTc2As. The functional is PBE.

Unit cell a=4.1495 b=4.1495 c=9.8220 alpha=77.81 beta=77.81 gamma=90.00
Atoms (fractional coordinates):
1 Y 0.0000 0.0000 0.0000
2 Y 0.7500 0.2500 0.5000
3 As 0.5000 0.5000 0.0000
4 As 0.2500 0.7500 0.5000
5 Tc 0.5197 0.1250 0.2500
6 Tc 0.2303 0.6250 0.2500
7 Tc 0.3750 0.4803 0.7500
8 Tc 0.8750 0.7697 0.7500

Properties
Energy above the most stable polymorph in this dataset, meV per atom: 380
Space-group type: No. 122
Energy of formation from the pure elements, meV per atom: 21
Spin magnetization, μB/atom: 0.000

This record from Alexandria describes a relaxed structure of Y2TcAs. The functional is PBE.

Unit cell a=7.6053 b=7.6053 c=6.2608 alpha=52.60 beta=52.60 gamma=90.00
Atoms (fractional coordinates):
1 Y 0.6387 0.1250 0.2500
2 Y 0.1113 0.6250 0.2500
3 Y 0.3750 0.3613 0.7500
4 Y 0.8750 0.8887 0.7500
5 As 0.5000 0.5000 0.0000
6 As 0.2500 0.7500 0.5000
7 Tc 0.0000 0.0000 0.0000
8 Tc 0.7500 0.2500 0.5000

Properties
Energy above the most stable polymorph in this dataset, meV per atom: 645
Space-group type: No. 122
Energy of formation from the pure elements, meV per atom: 21
Spin magnetization, μB/atom: 0.000

This record from Alexandria describes a relaxed structure of YTc2As. The functional is PBE.

Unit cell a=3.0563 b=4.1301 c=5.6158 alpha=90.00 beta=90.00 gamma=90.00
Atoms (fractional coordinates):
1 Y 0.0000 0.0000 0.5044
2 As 0.5000 0.5000 0.7733
3 Tc 0.0000 0.0000 0.0173
4 Tc 0.5000 0.5000 0.2050

Properties
Energy above the most stable polymorph in this dataset, meV per atom: 350
Space-group type: No. 25
Energy of formation from the pure elements, meV per atom: -9
Spin magnetization, μB/atom: 0.000

This record from Alexandria describes a relaxed structure of YTcAs2. The functional is PBE.

Unit cell a=5.6134 b=5.6134 c=5.6134 alpha=138.74 beta=138.74 gamma=59.78
Each line ends with the local moment (μB).
Atoms (fractional coordinates):
1 Y 0.7500 0.2500 0.5000  0.01
2 As 0.0000 0.0000 0.0000  -0.02
3 As 0.2500 0.7500 0.5000  0.00
4 Tc 0.5000 0.5000 0.0000  1.15

Properties
Energy above the most stable polymorph in this dataset, meV per atom: 429
Space-group type: No. 119
Energy of formation from the pure elements, meV per atom: -183
Spin magnetization, μB/atom: 0.313

This record from Alexandria describes a relaxed structure of YTcAs. The functional is PBE.

Unit cell a=4.0614 b=8.1805 c=8.5179 alpha=92.40 beta=103.79 gamma=90.00
Atoms (fractional coordinates):
1 Y 0.1078 0.3887 0.2156
2 Y 0.4496 0.1754 0.8992
3 Y 0.5504 0.8246 0.1008
4 Y 0.8922 0.6113 0.7844
5 Tc 0.2569 0.6404 0.5138
6 Tc 0.7532 0.9020 0.5064
7 Tc 0.7431 0.3596 0.4862
8 Tc 0.2468 0.0980 0.4936
9 As 0.3254 0.3773 0.6507
10 As 0.6458 0.1218 0.2917
11 As 0.6746 0.6227 0.3493
12 As 0.3542 0.8782 0.7083

Properties
Energy above the most stable polymorph in this dataset, meV per atom: 139
Space-group type: No. 12
Energy of formation from the pure elements, meV per atom: -350
Spin magnetization, μB/atom: 0.000

This record from Alexandria describes a relaxed structure of YTcAs. The functional is PBE.

Unit cell a=5.7710 b=5.7711 c=3.2945 alpha=73.41 beta=73.42 gamma=33.17
Atoms (fractional coordinates):
1 Y 0.6695 0.6695 0.3305
2 As 0.9671 0.9671 0.0329
3 Tc 0.3634 0.3634 0.6366

Properties
Energy above the most stable polymorph in this dataset, meV per atom: 31
Space-group type: No. 107
Energy of formation from the pure elements, meV per atom: -457
Spin magnetization, μB/atom: 0.000

This record from Alexandria describes a relaxed structure of Y2TcAs. The functional is PBE.

Unit cell a=3.6325 b=3.6325 c=6.4820 alpha=90.00 beta=90.00 gamma=90.01
Atoms (fractional coordinates):
1 Y 0.0000 0.0000 0.9983
2 Y 0.0000 0.0000 0.5017
3 As 0.5000 0.5000 0.2500
4 Tc 0.5000 0.5000 0.7500

Properties
Energy above the most stable polymorph in this dataset, meV per atom: 118
Space-group type: No. 123
Energy of formation from the pure elements, meV per atom: -506
Spin magnetization, μB/atom: 0.000

This record from Alexandria describes a relaxed structure of Y3TcAs. The functional is PBE.

Unit cell a=5.2568 b=5.2568 c=5.2568 alpha=90.00 beta=90.00 gamma=90.00
Atoms (fractional coordinates):
1 Y 0.0000 0.5000 0.0000
2 Y 0.0000 0.0000 0.5000
3 Y 0.5000 0.0000 0.0000
4 As 0.5000 0.5000 0.5000
5 Tc 0.0000 0.0000 0.0000

Properties
Energy above the most stable polymorph in this dataset, meV per atom: 0
Space-group type: No. 221
Energy of formation from the pure elements, meV per atom: 50
Spin magnetization, μB/atom: 0.000

This record from Alexandria describes a relaxed structure of Y2TcAs. The functional is PBE.

Unit cell a=6.1017 b=6.1017 c=6.1017 alpha=42.57 beta=42.57 gamma=42.57
Atoms (fractional coordinates):
1 Y 0.0308 0.0308 0.0308
2 Y 0.2218 0.2218 0.2218
3 As 0.4508 0.4508 0.4508
4 Tc 0.7965 0.7965 0.7965

Properties
Energy above the most stable polymorph in this dataset, meV per atom: 255
Space-group type: No. 160
Energy of formation from the pure elements, meV per atom: -369
Spin magnetization, μB/atom: 0.000

This record from Alexandria describes a relaxed structure of YTc2As. The functional is PBE.

Unit cell a=5.5947 b=5.5947 c=5.5947 alpha=139.90 beta=139.90 gamma=58.00
Atoms (fractional coordinates):
1 Y 0.2500 0.7500 0.5000
2 As 0.7500 0.2500 0.5000
3 Tc 0.0000 0.0000 0.0000
4 Tc 0.5000 0.5000 0.0000

Properties
Energy above the most stable polymorph in this dataset, meV per atom: 426
Space-group type: No. 139
Energy of formation from the pure elements, meV per atom: 67
Spin magnetization, μB/atom: 0.000

This record from Alexandria describes a relaxed structure of YTc2As. The functional is PBE.

Unit cell a=4.8756 b=4.8756 c=4.9392 alpha=75.02 beta=75.02 gamma=40.30
Atoms (fractional coordinates):
1 Y 0.7500 0.7500 0.7500
2 As 0.2500 0.2500 0.2500
3 Tc 0.9773 0.9773 0.0734
4 Tc 0.5227 0.5227 0.4266

Properties
Energy above the most stable polymorph in this dataset, meV per atom: 277
Space-group type: No. 12
Energy of formation from the pure elements, meV per atom: -82
Spin magnetization, μB/atom: 0.000

This record from Alexandria describes a relaxed structure of YTcAs2. The functional is PBE.

Unit cell a=4.7480 b=4.7480 c=4.7404 alpha=126.18 beta=114.33 gamma=89.96
Atoms (fractional coordinates):
1 Y 0.7500 0.2500 0.5000
2 As 0.0238 0.0238 0.0000
3 As 0.4762 0.4762 0.0000
4 Tc 0.2500 0.7500 0.5000

Properties
Energy above the most stable polymorph in this dataset, meV per atom: 130
Space-group type: No. 12
Energy of formation from the pure elements, meV per atom: -482
Spin magnetization, μB/atom: 0.000

Q: The highest spin magnetization belongs to which entry?
A: number 4

What did the second record say?
This record from Alexandria describes a relaxed structure of Y2TcAs. The functional is PBE.

Unit cell a=7.6053 b=7.6053 c=6.2608 alpha=52.60 beta=52.60 gamma=90.00
Atoms (fractional coordinates):
1 Y 0.6387 0.1250 0.2500
2 Y 0.1113 0.6250 0.2500
3 Y 0.3750 0.3613 0.7500
4 Y 0.8750 0.8887 0.7500
5 As 0.5000 0.5000 0.0000
6 As 0.2500 0.7500 0.5000
7 Tc 0.0000 0.0000 0.0000
8 Tc 0.7500 0.2500 0.5000

Properties
Energy above the most stable polymorph in this dataset, meV per atom: 645
Space-group type: No. 122
Energy of formation from the pure elements, meV per atom: 21
Spin magnetization, μB/atom: 0.000

Q: What is the formula in the third record?
A: YTc2As